(1)
Entry from Alexandria: a relaxed CsHgF crystal (PBE).

a b c (Å): 4.0365 7.3390 7.3829
angles (deg): 90.00 90.03 90.00
Space group P2_1 (No. 4)
Asymmetric unit:
Cs 0.0003 0.0000 0.1370
Hg 0.4986 0.4804 0.3667
F 0.5000 0.2742 0.0456

Output
Relative energy among the computed polymorphs, meV per atom: 52
Formation energy (no corrections), eV/atom: -1.665

(2)
Entry from Alexandria: a relaxed KY2Os crystal (PBE).

a b c (Å): 3.6814 4.1944 8.9588
angles (deg): 90.00 90.00 90.00
Space group Pmm2 (No. 25)
Asymmetric unit:
K 0.0000 0.0000 0.0000
Y 0.0000 0.0000 0.3875
Y 0.5000 0.5000 0.6259
Os 0.5000 0.5000 0.3303

Output
Relative energy among the computed polymorphs, meV per atom: 369

(3)
Entry from Alexandria: a relaxed KSrAs2Pd5 crystal (PBE).

a b c (Å): 4.3185 4.3185 10.4318
angles (deg): 90.00 90.00 90.00
Space group P4/mmm (No. 123)
Asymmetric unit:
K 0.0000 0.0000 0.0000
Sr 0.0000 0.0000 0.5000
As 0.5000 0.5000 0.1824
Pd 0.0000 0.5000 0.2927
Pd 0.5000 0.5000 0.5000

(4)
Entry from Alexandria: a relaxed CaCu2NiGe crystal (PBE).

a b c (Å): 3.9244 4.0428 10.4351
angles (deg): 90.00 90.00 90.00
Space group Imm2 (No. 44)
Asymmetric unit:
Ca 0.0000 0.0000 0.0000
Cu 0.0000 0.0000 0.6080
Cu 0.0000 0.5000 0.2476
Ni 0.0000 0.5000 0.7475
Ge 0.0000 0.0000 0.3744

(5)
Entry from Alexandria: a relaxed LiCaTbOs crystal (PBE).

a b c (Å): 6.9913 6.9913 6.9913
angles (deg): 90.00 90.00 90.00
Space group F-43m (No. 216)
Asymmetric unit:
Li 0.0000 0.0000 0.0000
Ca 0.2500 0.2500 0.2500
Tb 0.2500 0.2500 0.7500
Os 0.0000 0.0000 0.5000

(6)
Entry from Alexandria: a relaxed CdAu4Br crystal (PBE).

a b c (Å): 7.9703 7.9703 7.9703
angles (deg): 90.00 90.00 90.00
Space group F-43m (No. 216)
Asymmetric unit:
Cd 0.0000 0.0000 0.0000
Au 0.1251 0.1251 0.6251
Br 0.2500 0.2500 0.2500

Output
Formation energy (no corrections), eV/atom: 0.057

(7)
Entry from Alexandria: a relaxed Sr3Tl2Pd6 crystal (PBE).

a b c (Å): 10.0978 10.0978 10.0978
angles (deg): 90.00 90.00 90.00
Space group Im-3m (No. 229)
Asymmetric unit:
Sr 0.0000 0.0000 0.3024
Tl 0.2500 0.2500 0.2500
Pd 0.0000 0.3352 0.3352

(8)
Entry from Alexandria: a relaxed SrErInAu crystal (PBE).

a b c (Å): 7.5890 7.5890 7.5890
angles (deg): 90.00 90.00 90.00
Space group F-43m (No. 216)
Asymmetric unit:
Sr 0.0000 0.0000 0.0000
Er 0.0000 0.0000 0.5000
In 0.2500 0.2500 0.7500
Au 0.2500 0.2500 0.2500

no.,energy (eV per atom),size of the total moment (μB per formula unit)
1,-2.6742,0.00
2,-5.9595,0.00
3,-4.7304,0.00
4,-4.3547,0.00
5,-4.8979,0.00
6,-2.5593,0.00
7,-4.2393,0.00
8,-3.5719,0.00